Run a
A plane-wave DFT calculation with PBE was carried out for a geometry-optimized NdSm5Y5 structure.

Calculated values
As for the calculated volume: 35.13 A^3/atom. The calculation puts the spin magnetization at 0.00 μB per formula unit. Its density of states at the Fermi level is 2.105 states/eV per atom.

a = 6.1341 Å, b = 6.1341 Å, c = 11.8597 Å
α = 90.00°, β = 90.00°, γ = 120.00°
Last column: nearest neighbours and their distance in Å.
Element x y z (fractional)
Nd (0.0000, 0.0000, 0.0000)  5 Sm 3.54-3.78
Sm (0.0000, 0.0000, 0.3190)  9 Y 3.60-3.74, 1 Nd 3.78
Sm (0.0000, 0.0000, 0.6810)  9 Y 3.60-3.74, 1 Nd 3.78
Sm (0.3333, 0.6667, 0.1542)  7 Sm 3.66-4.04, 3 Y 3.77, 3 Nd 3.99
Sm (0.3333, 0.6667, 0.8458)  7 Sm 3.66-4.04, 3 Y 3.77, 3 Nd 3.99
Sm (0.6667, 0.3333, 0.0000)  2 Y 3.12
Y (0.0002, 0.5001, 0.5000)  6 Y 3.07-3.33
Y (0.4999, 0.9998, 0.5000)  6 Y 3.07-3.33
Y (0.4999, 0.5001, 0.5000)  6 Y 3.07-3.33
Y (0.6667, 0.3333, 0.2627)  1 Sm 3.12, 3 Y 3.33
Y (0.6667, 0.3333, 0.7373)  1 Sm 3.12, 3 Y 3.33

***

Run b
A plane-wave DFT calculation with PBE was carried out for a geometry-optimized NdSm5Y5 structure.

Calculated values
As for the calculated volume: 34.18 A^3/atom. The calculation puts the spin magnetization at 0.98 μB per formula unit. Its density of states at the Fermi level is 1.841 states/eV per atom.

a = 9.8855 Å, b = 9.8855 Å, c = 7.0143 Å
α = 108.49°, β = 108.49°, γ = 35.58°
Last column: nearest neighbours and their distance in Å.
Element x y z (fractional)
Nd (0.0000, 0.0000, 0.0000)  2 Y 3.02
Sm (0.0000, 0.0000, 0.5000)  2 Nd 3.51, 4 Y 3.59-3.66, 4 Sm 3.75
Sm (0.3294, 0.3294, 0.8171)  3 Y 3.04-3.23
Sm (0.3748, 0.3748, 0.3616)  4 Sm 3.57-3.75, 7 Y 3.59-4.00
Sm (0.6252, 0.6252, 0.6384)  4 Sm 3.57-3.75, 7 Y 3.59-4.00
Sm (0.6706, 0.6706, 0.1829)  3 Y 3.04-3.23
Y (0.1766, 0.1766, 0.9273)  5 Sm 3.22-3.59, 2 Y 3.46-3.56, 1 Nd 3.53
Y (0.1792, 0.1792, 0.4222)  4 Sm 3.23-3.59, 2 Y 3.46-3.56
Y (0.5000, 0.5000, 0.0000)  2 Nd 3.02, 2 Sm 3.04
Y (0.8208, 0.8208, 0.5778)  4 Sm 3.23-3.59, 2 Y 3.46-3.56
Y (0.8234, 0.8234, 0.0727)  5 Sm 3.22-3.59, 2 Y 3.46-3.56, 1 Nd 3.53

***

The winner here is run b, beating the second structure by 0.057 eV/atom.

***

Run a
A plane-wave DFT calculation with PBE was carried out for a geometry-optimized Nd3Sm5Y4 structure.

Calculated values
As for the calculated volume: 34.27 A^3/atom. The calculation puts the spin magnetization at 0.03 μB per formula unit. Its density of states at the Fermi level is 1.668 states/eV per atom.

a = 8.6616 Å, b = 8.6616 Å, c = 9.3889 Å
α = 114.63°, β = 114.63°, γ = 40.67°
Last column: nearest neighbours and their distance in Å.
Element x y z (fractional)
Nd (0.0000, 0.0000, 0.0000)  2 Sm 3.01
Nd (0.2913, 0.2913, 0.7696)  3 Sm 3.11-3.26, 2 Y 3.33-3.43
Nd (0.7087, 0.7087, 0.2304)  3 Sm 3.11-3.26, 2 Y 3.33-3.43
Sm (0.0754, 0.0754, 0.6986)  2 Nd 3.26-3.55, 1 Sm 3.43
Sm (0.1727, 0.1727, 0.3855)  4 Nd 3.25-3.50, 3 Y 3.49-3.59
Sm (0.5000, 0.5000, 0.0000)  4 Nd 3.01-3.11
Sm (0.8273, 0.8273, 0.6145)  4 Nd 3.25-3.50, 3 Y 3.49-3.59
Sm (0.9246, 0.9246, 0.3014)  2 Nd 3.26-3.55, 1 Sm 3.43
Y (0.2897, 0.2897, 0.1230)  3 Nd 3.33-3.60, 3 Sm 3.66-3.72, 3 Y 3.66-3.69
Y (0.4189, 0.4189, 0.5601)  2 Y 3.29-3.69, 1 Nd 3.43, 3 Sm 3.49-3.59
Y (0.5811, 0.5811, 0.4399)  2 Y 3.29-3.69, 1 Nd 3.43, 3 Sm 3.49-3.59
Y (0.7103, 0.7103, 0.8770)  3 Nd 3.33-3.60, 3 Sm 3.66-3.72, 3 Y 3.66-3.69

***

Run b
A plane-wave DFT calculation with PBE was carried out for a geometry-optimized Nd3Sm5Y4 structure.

Calculated values
As for the calculated volume: 33.60 A^3/atom. The calculation puts the spin magnetization at 0.00 μB per formula unit. Its density of states at the Fermi level is 1.345 states/eV per atom.

a = 6.2768 Å, b = 7.2392 Å, c = 8.8747 Å
α = 90.04°, β = 90.03°, γ = 90.06°
Last column: nearest neighbours and their distance in Å.
Element x y z (fractional)
Nd (0.0000, 0.0000, 0.0000)  8 Sm 3.62-3.63, 2 Nd 3.63, 2 Y 3.64
Nd (0.1669, 0.7499, 0.6662)  6 Y 3.61-3.63, 5 Sm 3.62-3.63, 1 Nd 3.63
Nd (0.8331, 0.2501, 0.3338)  6 Y 3.61-3.63, 5 Sm 3.62-3.63, 1 Nd 3.63
Sm (0.0000, 0.5000, 0.0000)  4 Sm 3.62, 4 Nd 3.62-3.63, 4 Y 3.63
Sm (0.3339, 0.0004, 0.3340)  3 Sm 3.61-3.63, 5 Y 3.61-3.63, 4 Nd 3.62-3.63
Sm (0.4998, 0.2512, 0.0003)  6 Sm 3.60-3.64, 3 Y 3.62-3.63, 3 Nd 3.62-3.63
Sm (0.5002, 0.7488, 0.9997)  6 Sm 3.60-3.64, 3 Y 3.62-3.63, 3 Nd 3.62-3.63
Sm (0.6661, 0.9996, 0.6660)  3 Sm 3.61-3.63, 5 Y 3.61-3.63, 4 Nd 3.62-3.63
Y (0.1674, 0.2514, 0.6658)  3 Y 3.61-3.62, 4 Nd 3.61-3.64, 5 Sm 3.61-3.63
Y (0.3332, 0.5000, 0.3338)  4 Y 3.61-3.62, 3 Nd 3.61-3.62, 5 Sm 3.62-3.63
Y (0.6668, 0.5000, 0.6662)  4 Y 3.61-3.62, 3 Nd 3.61-3.62, 5 Sm 3.62-3.63
Y (0.8326, 0.7486, 0.3342)  3 Y 3.61-3.62, 4 Nd 3.61-3.64, 5 Sm 3.61-3.63

***

The winner here is run b, beating the second structure by 0.200 eV/atom.

***

Run a
A plane-wave DFT calculation with PBE was carried out for a geometry-optimized Nd4Sm5Y structure.

Calculated values
As for the calculated volume: 34.22 A^3/atom. The calculation puts the spin magnetization at 0.00 μB per formula unit. Its density of states at the Fermi level is 1.375 states/eV per atom.

a = 9.6270 Å, b = 9.6270 Å, c = 10.3230 Å
α = 105.71°, β = 105.71°, γ = 21.84°
Last column: nearest neighbours and their distance in Å.
Element x y z (fractional)
Nd (0.0995, 0.0995, 0.3001)  6 Sm 3.61-3.65, 2 Y 3.64, 4 Nd 3.65-3.66
Nd (0.3003, 0.3003, 0.9003)  1 Y 3.63, 5 Sm 3.64-3.65, 6 Nd 3.65-3.66
Nd (0.6997, 0.6997, 0.0997)  1 Y 3.63, 5 Sm 3.64-3.65, 6 Nd 3.65-3.66
Nd (0.9005, 0.9005, 0.6999)  6 Sm 3.61-3.65, 2 Y 3.64, 4 Nd 3.65-3.66
Sm (0.0994, 0.0994, 0.7994)  4 Nd 3.61-3.65, 6 Sm 3.63-3.65, 2 Y 3.65
Sm (0.3001, 0.3001, 0.3998)  7 Sm 3.63-3.65, 5 Nd 3.64-3.65
Sm (0.5000, 0.5000, 0.5000)  8 Sm 3.63-3.65, 4 Nd 3.64
Sm (0.6999, 0.6999, 0.6002)  7 Sm 3.63-3.65, 5 Nd 3.64-3.65
Sm (0.9006, 0.9006, 0.2006)  4 Nd 3.61-3.65, 6 Sm 3.63-3.65, 2 Y 3.65
Y (0.5000, 0.5000, 0.0000)  6 Nd 3.63-3.64, 4 Sm 3.65, 2 Y 3.65

***

Run b
A plane-wave DFT calculation with PBE was carried out for a geometry-optimized Nd4Sm5Y structure.

Calculated values
As for the calculated volume: 34.29 A^3/atom. The calculation puts the spin magnetization at 0.00 μB per formula unit. Its density of states at the Fermi level is 1.290 states/eV per atom.

a = 10.8370 Å, b = 10.8370 Å, c = 5.8399 Å
α = 90.00°, β = 90.00°, γ = 90.00°
Last column: nearest neighbours and their distance in Å.
Element x y z (fractional)
Nd (0.0452, 0.7500, 0.1325)  1 Sm 3.09, 1 Y 3.20
Nd (0.2500, 0.5452, 0.8675)  1 Sm 3.09, 1 Y 3.20
Nd (0.2500, 0.9548, 0.8675)  1 Sm 3.09, 1 Y 3.20
Nd (0.4548, 0.7500, 0.1325)  1 Sm 3.09, 1 Y 3.20
Nd (0.5452, 0.2500, 0.8675)  1 Sm 3.09, 1 Y 3.20
Nd (0.7500, 0.0452, 0.1325)  1 Sm 3.09, 1 Y 3.20
Nd (0.7500, 0.4548, 0.1325)  1 Sm 3.09, 1 Y 3.20
Nd (0.9548, 0.2500, 0.8675)  1 Sm 3.09, 1 Y 3.20
Sm (0.0880, 0.0880, 0.3341)  3 Sm 3.32-3.51, 2 Nd 3.55, 1 Y 3.71
Sm (0.0880, 0.4120, 0.3341)  3 Sm 3.32-3.51, 2 Nd 3.55, 1 Y 3.71
Sm (0.2500, 0.7500, 0.5000)  4 Nd 3.09
Sm (0.4120, 0.0880, 0.3341)  3 Sm 3.32-3.51, 2 Nd 3.55, 1 Y 3.71
Sm (0.4120, 0.4120, 0.3341)  3 Sm 3.32-3.51, 2 Nd 3.55, 1 Y 3.71
Sm (0.5880, 0.5880, 0.6659)  3 Sm 3.32-3.51, 2 Nd 3.55, 1 Y 3.71
Sm (0.5880, 0.9120, 0.6659)  3 Sm 3.32-3.51, 2 Nd 3.55, 1 Y 3.71
Sm (0.7500, 0.2500, 0.5000)  4 Nd 3.09
Sm (0.9120, 0.5880, 0.6659)  3 Sm 3.32-3.51, 2 Nd 3.55, 1 Y 3.71
Sm (0.9120, 0.9120, 0.6659)  3 Sm 3.32-3.51, 2 Nd 3.55, 1 Y 3.71
Y (0.2500, 0.2500, 0.8614)  4 Nd 3.20
Y (0.7500, 0.7500, 0.1386)  4 Nd 3.20

***

The winner here is run a, beating the second structure by 0.169 eV/atom.

***

Run a
A plane-wave DFT calculation with PBE was carried out for a geometry-optimized Nd2SmY5 structure.

Calculated values
As for the calculated volume: 33.12 A^3/atom. The calculation puts the spin magnetization at 0.00 μB per formula unit. Its density of states at the Fermi level is 1.470 states/eV per atom.

a = 7.2110 Å, b = 14.4271 Å, c = 5.0943 Å
α = 90.00°, β = 90.00°, γ = 90.00°
Last column: nearest neighbours and their distance in Å.
Element x y z (fractional)
Nd (0.2504, 0.1251, 0.0000)  10 Y 3.60-3.61, 2 Sm 3.61
Nd (0.2496, 0.6251, 0.0000)  10 Y 3.60-3.61, 2 Sm 3.61
Nd (0.7504, 0.3749, 0.0000)  10 Y 3.60-3.61, 2 Sm 3.61
Nd (0.7496, 0.8749, 0.0000)  10 Y 3.60-3.61, 2 Sm 3.61
Sm (0.0000, 0.0000, 0.5000)  8 Y 3.60-3.61, 4 Nd 3.61
Sm (0.5000, 0.5000, 0.5000)  8 Y 3.60-3.61, 4 Nd 3.61
Y (0.0000, 0.5000, 0.5000)  4 Nd 3.60, 2 Sm 3.61, 6 Y 3.61
Y (0.0009, 0.2501, 0.5000)  4 Nd 3.60-3.61, 7 Y 3.60-3.61, 1 Sm 3.61
Y (0.2487, 0.8751, 0.0000)  4 Nd 3.60-3.61, 2 Sm 3.60, 6 Y 3.60-3.61
Y (0.2513, 0.3751, 0.0000)  4 Nd 3.60-3.61, 2 Sm 3.60, 6 Y 3.60-3.61
Y (0.4991, 0.7501, 0.5000)  4 Nd 3.60-3.61, 7 Y 3.60-3.61, 1 Sm 3.61
Y (0.5000, 0.0000, 0.5000)  4 Nd 3.60, 2 Sm 3.61, 6 Y 3.61
Y (0.5009, 0.2499, 0.5000)  4 Nd 3.60-3.61, 7 Y 3.60-3.61, 1 Sm 3.61
Y (0.7487, 0.6249, 0.0000)  4 Nd 3.60-3.61, 2 Sm 3.60, 6 Y 3.60-3.61
Y (0.7513, 0.1249, 0.0000)  4 Nd 3.60-3.61, 2 Sm 3.60, 6 Y 3.60-3.61
Y (0.9991, 0.7499, 0.5000)  4 Nd 3.60-3.61, 7 Y 3.60-3.61, 1 Sm 3.61

***

Run b
A plane-wave DFT calculation with PBE was carried out for a geometry-optimized Nd2SmY5 structure.

Calculated values
As for the calculated volume: 33.35 A^3/atom. The calculation puts the spin magnetization at 0.00 μB per formula unit. Its density of states at the Fermi level is 1.609 states/eV per atom.

a = 9.5871 Å, b = 9.5871 Å, c = 6.6012 Å
α = 97.38°, β = 97.38°, γ = 62.81°
Last column: nearest neighbours and their distance in Å.
Element x y z (fractional)
Nd (0.1668, 0.6748, 0.8803)  1 Sm 3.02, 2 Y 3.23-3.36, 1 Nd 3.32
Nd (0.3252, 0.8332, 0.6197)  1 Sm 3.02, 2 Y 3.23-3.36, 1 Nd 3.32
Nd (0.6748, 0.1668, 0.3803)  1 Sm 3.02, 2 Y 3.23-3.36, 1 Nd 3.32
Nd (0.8332, 0.3252, 0.1197)  1 Sm 3.02, 2 Y 3.23-3.36, 1 Nd 3.32
Sm (0.0000, 0.5000, 0.0000)  2 Nd 3.02
Sm (0.5000, 0.0000, 0.5000)  2 Nd 3.02
Y (0.0103, 0.1879, 0.6460)  3 Nd 3.36-3.56, 1 Sm 3.52, 5 Y 3.67-3.75
Y (0.1879, 0.0103, 0.1460)  3 Nd 3.36-3.56, 1 Sm 3.52, 5 Y 3.67-3.75
Y (0.2136, 0.3904, 0.4740)  1 Nd 3.48, 2 Sm 3.50-3.51, 7 Y 3.67-3.77
Y (0.3904, 0.2136, 0.9740)  1 Nd 3.48, 2 Sm 3.50-3.51, 7 Y 3.67-3.77
Y (0.4400, 0.5600, 0.2500)  4 Nd 3.23-3.55, 2 Y 3.51
Y (0.5600, 0.4400, 0.7500)  4 Nd 3.23-3.55, 2 Y 3.51
Y (0.6096, 0.7864, 0.0260)  1 Nd 3.48, 2 Sm 3.50-3.51, 7 Y 3.67-3.77
Y (0.7864, 0.6096, 0.5260)  1 Nd 3.48, 2 Sm 3.50-3.51, 7 Y 3.67-3.77
Y (0.8121, 0.9897, 0.8540)  3 Nd 3.36-3.56, 1 Sm 3.52, 5 Y 3.67-3.75
Y (0.9897, 0.8121, 0.3540)  3 Nd 3.36-3.56, 1 Sm 3.52, 5 Y 3.67-3.75

***

The winner here is run a, beating the second structure by 0.132 eV/atom.

***

Run a
A plane-wave DFT calculation with PBE was carried out for a geometry-optimized Nd7SmY2 structure.

Calculated values
As for the calculated volume: 34.52 A^3/atom. The calculation puts the spin magnetization at 0.00 μB per formula unit. Its density of states at the Fermi level is 1.552 states/eV per atom.

a = 6.3209 Å, b = 6.3336 Å, c = 9.6728 Å
α = 102.61°, β = 108.97°, γ = 99.68°
Last column: nearest neighbours and their distance in Å.
Element x y z (fractional)
Nd (0.0000, 0.0000, 0.0000)  8 Nd 3.64-3.66, 4 Y 3.65
Nd (0.1998, 0.1007, 0.7010)  3 Y 3.64-3.66, 7 Nd 3.64-3.67, 2 Sm 3.66
Nd (0.1996, 0.5982, 0.1994)  3 Y 3.64-3.65, 8 Nd 3.65-3.67, 1 Sm 3.65
Nd (0.4013, 0.1999, 0.3993)  2 Sm 3.64-3.66, 1 Y 3.65, 9 Nd 3.65-3.67
Nd (0.5987, 0.8001, 0.6007)  2 Sm 3.64-3.66, 1 Y 3.65, 9 Nd 3.65-3.67
Nd (0.8004, 0.4018, 0.8006)  3 Y 3.64-3.65, 8 Nd 3.65-3.67, 1 Sm 3.65
Nd (0.8002, 0.8993, 0.2990)  3 Y 3.64-3.66, 7 Nd 3.64-3.67, 2 Sm 3.66
Sm (0.0000, 0.5000, 0.5000)  10 Nd 3.64-3.66, 2 Y 3.67
Y (0.4008, 0.7007, 0.9013)  9 Nd 3.64-3.66, 2 Y 3.64-3.65, 1 Sm 3.67
Y (0.5992, 0.2993, 0.0987)  9 Nd 3.64-3.66, 2 Y 3.64-3.65, 1 Sm 3.67

***

Run b
A plane-wave DFT calculation with PBE was carried out for a geometry-optimized Nd7SmY2 structure.

Calculated values
As for the calculated volume: 41.93 A^3/atom. The calculation puts the spin magnetization at 0.00 μB per formula unit. Its density of states at the Fermi level is 1.607 states/eV per atom.

a = 9.6945 Å, b = 9.6945 Å, c = 5.5707 Å
α = 90.00°, β = 90.00°, γ = 126.78°
Last column: nearest neighbours and their distance in Å.
Element x y z (fractional)
Nd (0.0000, 0.0000, 0.0000)  4 Nd 3.37, 2 Y 3.61
Nd (0.2106, 0.4302, 0.0000)  2 Nd 3.12-3.37, 1 Y 3.27
Nd (0.2944, 0.7056, 0.5000)  2 Y 3.16
Nd (0.4302, 0.2106, 0.0000)  2 Nd 3.12-3.37, 1 Y 3.27
Nd (0.5698, 0.7894, 0.0000)  2 Nd 3.12-3.37, 1 Y 3.27
Nd (0.7056, 0.2944, 0.5000)  2 Y 3.16
Nd (0.7894, 0.5698, 0.0000)  2 Nd 3.12-3.37, 1 Y 3.27
Sm (0.5000, 0.5000, 0.5000)  10 Nd 3.56-3.72
Y (0.2083, 0.7917, 0.0000)  6 Nd 3.16-3.52
Y (0.7917, 0.2083, 0.0000)  6 Nd 3.16-3.52

***

The winner here is run a, beating the second structure by 0.632 eV/atom.